Entry from the Alexandria database: a relaxed Li2Nb2Pd7 crystal (PBE).

```
Li2Nb2Pd7
1.0
-4.466 -4.170 -0.780
3.676 -3.036 -1.028
1.582 -1.041 5.861
Li Nb Pd
2 2 7
Direct
0.739 0.248 0.261
0.261 0.752 0.739
0.803 0.500 0.803
0.197 0.500 0.197
0.039 0.241 0.595
0.595 0.759 0.039
0.961 0.759 0.405
0.405 0.241 0.961
0.000 0.000 0.000
0.540 0.767 0.460
0.460 0.233 0.540
```

Computed properties:
The formation energy comes out at -0.061 eV/atom. Its symmetry is C2/m (12). The theoretical density comes out at 8709 kg/m³. For the volume, the calculation gives 180 Å³ per cell.

Entry from the Alexandria database: a relaxed Li2NbPd crystal (PBE).

```
Li2NbPd
1.0
2.778 0.000 0.000
1.389 2.405 0.000
1.389 0.802 9.840
Nb Pd Li
1 1 2
Direct
0.000 0.000 0.000
0.500 0.500 0.500
0.096 0.096 0.713
0.904 0.904 0.287
```

Computed properties:
The formation energy comes out at 0.036 eV/atom. Its symmetry is R-3m (166). The theoretical density comes out at 5385 kg/m³. The value obtained for the distance to the lowest polymorph of the same formula is 0 meV per atom. For the volume, the calculation gives 66 Å³ per cell.